No. 1
Computed, not measured: an optimized crystal structure of CdRe2AgN at the PBE level of DFT.

POSCAR file:
```
CdRe2AgN
1.0
-2.4233 -0.4133 -3.1204
-1.3208 -4.5563 1.6291
-2.9688 1.6088 2.0925
Re N Ag Cd
2 1 1 1
Cartesian
-1.4844 0.8044 1.0462
-1.2116 -0.2066 -1.5602
0.0000 0.0000 0.0000
-3.3564 -1.6804 0.3006
-0.6604 -2.2781 0.8146
```

The value obtained for the volume is 79 Å³ per cell. Its final energy is -6.78 eV per atom. As for the energy relative to the elements, uncorrected: 0.62 eV/atom.

No. 2
Computed, not measured: an optimized crystal structure of TcRhW2 at the PBE level of DFT.

POSCAR file:
```
TcRhW2
1.0
-1.3897 2.2963 0.4978
-1.1174 -1.8877 1.6249
5.5458 2.0205 6.1612
Rh Tc W
1 1 2
Cartesian
0.1329 0.7094 2.6017
2.9058 1.7197 5.6823
0.0156 0.0057 0.0173
2.7573 1.0046 3.0633
```

The value obtained for the volume is 61 Å³ per cell. Its final energy is -10.83 eV per atom. The value obtained for the energy above the most stable polymorph in this dataset is 72 meV per atom.

No. 3
Computed, not measured: an optimized crystal structure of Tm3BiPb2 at the PBE level of DFT.

POSCAR file:
```
Tm3BiPb2
1.0
0.4543 -4.4554 -0.7429
2.0764 -0.4180 3.7762
-8.9181 0.9775 2.5520
Tm Bi Pb
3 1 2
Cartesian
1.2653 -2.4367 1.5167
-4.8064 -3.1822 2.2719
-1.5810 -0.7136 3.3134
0.0000 0.0000 0.0000
-4.3255 -1.2263 4.7061
-2.0620 -2.6696 0.8792
```

The value obtained for the volume is 173 Å³ per cell. Its final energy is -4.55 eV per atom. The value obtained for the energy above the most stable polymorph in this dataset is 6 meV per atom.